(1)
Ca5PdAu2 PBE relaxed; ρ = 5178 kg/m3; VASP energy = -3.36 eV per atom
1.0
-1.092 0.141 -4.387
-1.096 -7.769 0.023
-12.164 1.725 3.083
Ca Au Pd
10 4 2
direct
0.500 0.824 0.910
0.000 0.000 0.500
0.000 0.663 0.703
0.000 0.837 0.203
0.500 0.176 0.090
0.000 0.337 0.297
0.000 0.500 0.000
0.000 0.163 0.797
0.500 0.324 0.590
0.500 0.676 0.410
0.500 0.546 0.170
0.500 0.954 0.670
0.500 0.454 0.830
0.500 0.046 0.330
0.000 0.500 0.500
0.000 0.000 0.000

---

(2)
Cs2AlCl4 PBE relaxed; ρ = 3104 kg/m3; formation energy from raw total energies = -1.584 eV per atom
1.0
-4.024 0.651 -3.178
-2.426 -3.964 2.260
-6.850 3.819 5.253
Cl Al Cs
4 1 2
direct
0.000 0.500 0.000
0.150 0.150 0.701
0.850 0.850 0.299
0.500 0.000 0.000
0.000 0.000 0.000
0.644 0.644 0.712
0.356 0.356 0.288

---

(3)
ErGa2Ni2Ir PBE relaxed; ρ = 8945 kg/m3; VASP energy = -5.23 eV per atom
1.0
4.673 0.000 0.000
0.000 4.673 0.000
0.000 0.000 5.239
Ga Ni Er Ir
2 2 1 1
direct
0.500 0.000 0.000
0.000 0.500 0.000
0.500 0.500 0.258
0.500 0.500 0.742
0.000 0.000 0.500
0.000 0.000 0.000

---

(4)
Hf2In2Bi PBE relaxed; energy above the most stable polymorph in this dataset = 0.0 meV/atom; ρ = 10623 kg/m3
1.0
7.520 0.000 0.000
0.000 7.520 0.000
0.000 0.000 4.398
Hf Bi In
4 2 4
direct
0.853 0.647 0.000
0.647 0.147 0.000
0.147 0.353 0.000
0.353 0.853 0.000
0.000 0.000 0.000
0.500 0.500 0.000
0.347 0.153 0.500
0.653 0.847 0.500
0.153 0.653 0.500
0.847 0.347 0.500

---

(5)
CdIn2Au PBE relaxed; ρ = 9081 kg/m3; VASP energy = -2.46 eV per atom
1.0
-1.045 -2.219 3.642
-0.946 -3.213 -2.229
4.730 -3.618 -0.847
Cd In Au
1 2 1
direct
0.500 0.750 0.750
0.000 0.420 0.483
0.000 0.080 0.017
0.500 0.250 0.250

---

(6)
RbIrBr4 PBE relaxed; ρ = 5512 kg/m3; formation energy from raw total energies = -0.667 eV per atom
1.0
6.037 0.004 -2.178
-0.635 6.539 -1.751
-0.060 -0.500 9.288
Br Rb Ir
8 2 2
direct
0.240 0.599 0.797
0.715 0.355 0.586
0.871 0.855 0.586
0.443 0.901 0.203
0.285 0.645 0.414
0.760 0.401 0.203
0.129 0.145 0.414
0.557 0.099 0.797
0.809 0.750 0.000
0.191 0.250 0.000
0.000 0.500 0.500
0.500 0.000 0.500

---

> Which formula does entry 4 have?

Hf2In2Bi

---

Repeat the sixth record exactly.
RbIrBr4 PBE relaxed; ρ = 5512 kg/m3; formation energy from raw total energies = -0.667 eV per atom
1.0
6.037 0.004 -2.178
-0.635 6.539 -1.751
-0.060 -0.500 9.288
Br Rb Ir
8 2 2
direct
0.240 0.599 0.797
0.715 0.355 0.586
0.871 0.855 0.586
0.443 0.901 0.203
0.285 0.645 0.414
0.760 0.401 0.203
0.129 0.145 0.414
0.557 0.099 0.797
0.809 0.750 0.000
0.191 0.250 0.000
0.000 0.500 0.500
0.500 0.000 0.500